Entry w
4
Lattice="2.072 1.196 6.484 -2.072 1.196 6.484 0.000 -2.393 6.484" Properties=species:S:1:pos:R:3 comment="La2IrF (GGA-PBE, relaxed)" sg="No. 166" magmom_total_mub_per_cell=0.000 mass_density_g_cm3=8.4 pbc="T T T"
La 0.000 0.000 4.833
La 0.000 0.000 14.618
Ir 0.000 0.000 9.726
F 0.000 0.000 0.000

=====

Entry x
4
Lattice="2.062 1.190 8.051 -2.062 1.190 8.051 0.000 -2.381 8.051" Properties=species:S:1:pos:R:3 comment="La2IrF (GGA-PBE, relaxed)" sg="No. 160" magmom_total_mub_per_cell=0.000 mass_density_g_cm3=6.8 pbc="T T T"
La 0.000 0.000 0.000
La 0.000 0.000 4.823
Ir 0.000 0.000 14.346
F 0.000 0.000 9.129

=====

Entry y
4
Lattice="0.000 3.525 3.525 3.525 0.000 3.525 3.525 3.525 0.000" Properties=species:S:1:pos:R:3 comment="La2IrF (GGA-PBE, relaxed)" sg="No. 225" magmom_total_mub_per_cell=0.000 mass_density_g_cm3=9.3 pbc="T T T"
La 1.762 1.762 1.762
La 5.287 5.287 5.287
Ir 0.000 0.000 0.000
F 3.525 3.525 3.525

=====

Entry z
8
Lattice="-2.938 2.938 6.583 2.938 -2.938 6.583 2.938 2.938 -6.583" Properties=species:S:1:pos:R:3 comment="La2IrF (GGA-PBE, relaxed)" sg="No. 122" magmom_total_mub_per_cell=0.000 mass_density_g_cm3=7.1 pbc="T T T"
La 4.407 1.322 -1.646
La 1.322 1.469 1.646
La -1.469 1.616 4.937
La 1.616 1.469 8.228
Ir 2.938 0.000 3.291
Ir 0.000 0.000 6.583
F 0.000 0.000 0.000
F 0.000 2.938 3.291

=====

Stability, lowest: entry y

=====

Entry w
5
Lattice="4.461 0.000 0.000 0.000 4.461 0.000 0.000 0.000 4.461" Properties=species:S:1:pos:R:3 comment="LaIr3F (GGA-PBE, relaxed)" sg="No. 221" magmom_total_mub_per_cell=0.000 mass_density_g_cm3=13.7 pbc="T T T"
La 0.000 0.000 0.000
Ir 0.000 2.230 2.230
Ir 2.230 0.000 2.230
Ir 2.230 2.230 0.000
F 2.230 2.230 2.230

=====

Entry x
5
Lattice="5.058 0.000 0.000 0.000 5.058 0.000 0.000 0.000 5.058" Properties=species:S:1:pos:R:3 comment="LaIr3F (GGA-PBE, relaxed)" sg="No. 221" magmom_total_mub_per_cell=2.841 mass_density_g_cm3=9.4 pbc="T T T"
La 0.000 0.000 0.000
Ir 0.000 0.000 2.529
Ir 0.000 2.529 0.000
Ir 2.529 0.000 0.000
F 2.529 2.529 2.529

=====

Stability, lowest: entry x